# 1
An optimized crystal structure of MnHgBBr2, computed with GGA-PBE.

For the magnetic moment, the calculation gives 5.810 μB per cell. The total energy comes out at -16.133 eV/cell. The density of states at the Fermi level comes out at 1.98 states/eV/f.u. For the uncorrected formation energy, the calculation gives 672.4 meV per atom.

The structure belongs to space group P4/mmm (No. 123); the cell edges are 5.427, 5.427 and 4.299 Å and the angles 90.00°, 90.00° and 90.00°. The asymmetric unit holds Mn at (0.000, 0.000, 0.000), Hg at (0.500, 0.500, 0.000), B at (0.500, 0.500, 0.500) and Br at (0.000, 0.500, 0.500).

---

# 2
An optimized crystal structure of CsRbNa2I, computed with GGA-PBE.

For the magnetic moment, the calculation gives 0.000 μB per cell. The total energy comes out at -7.808 eV/cell. As for the excess energy over the best structure of this formula in the dataset: 0 meV/atom. The density of states at the Fermi level comes out at 2.78 states/eV/f.u. For the uncorrected formation energy, the calculation gives -359.7 meV per atom.

The structure belongs to space group P4/mmm (No. 123); the cell edges are 6.656, 6.656 and 7.423 Å and the angles 90.00°, 90.00° and 90.00°. The asymmetric unit holds Cs at (0.000, 0.000, 0.000), Rb at (0.500, 0.500, 0.000), Na at (0.000, 0.500, 0.500) and I at (0.000, 0.000, 0.500).

---

Question: The highest total energy belongs to which entry?
Answer: CsRbNa2I

---

Question: Look up the magnetic moment of the second one.
Answer: 0.000 μB per cell

---

Question: What is the magnetic moment in the second record?
Answer: 0.000 μB per cell